A relaxed LaCdSbSe crystal. Source: Alexandria via LeMat-Bulk, functional PBE-GGA.

Results
Total energy   -4.4381 eV/atom
Mass density   6.11 Mg/m³
Spin magnetization   0.0 μB per cell

```
8
Lattice="2.421 1.398 12.108 -2.421 1.398 12.108 0.000 -2.796 12.108" Properties=species:S:1:pos:R:3 pbc="T T T"
La 0.000 0.000 4.078
La 0.000 0.000 32.247
Cd 0.000 0.000 11.061
Cd 0.000 0.000 25.264
Sb 0.000 0.000 14.085
Sb 0.000 0.000 22.240
Se 0.000 0.000 7.153
Se 0.000 0.000 29.172
```